Entry 1:
Density functional theory data (GGA-PBEsol) for an optimized crystal structure of Ta4Re.

Properties
Density of states at the Fermi level = 0.827 states/eV per atom
Magnetization = 0.000 Bohr magnetons per cell
Energy above the most stable polymorph in this dataset = 0 meV/atom
ΔE_f = -0.205 eV per atom

```
Ta4Re
1.0
-2.778 0.477 -1.473
-2.792 -4.596 0.342
-3.467 1.831 3.697
Ta Re
4 1
Direct
0.595 0.611 0.198 Ta
0.207 0.198 0.389 Ta
0.405 0.389 0.802 Ta
0.793 0.802 0.611 Ta
0.000 0.000 0.000 Re
```



Entry 2:
Density functional theory data (GGA-PBEsol) for an optimized crystal structure of Ta3Re.

Properties
Density of states at the Fermi level = 0.931 states/eV per atom
Magnetization = 0.000 Bohr magnetons per cell
ΔE_f = -0.222 eV per atom

```
Ta3Re
1.0
3.205 0.000 0.000
0.000 4.551 0.000
0.000 0.000 4.551
Ta Re
3 1
Direct
0.500 0.000 0.500 Ta
0.000 0.500 0.500 Ta
0.500 0.500 0.000 Ta
0.000 0.000 0.000 Re
```



Entry 3:
Density functional theory data (GGA-PBEsol) for an optimized crystal structure of Ta4Re.

Properties
Density of states at the Fermi level = 0.870 states/eV per atom
Magnetization = 0.001 Bohr magnetons per cell
Energy above the most stable polymorph in this dataset = 1253 meV/atom
ΔE_f = 1.049 eV per atom

```
Ta4Re
1.0
-3.133 2.052 3.522
-0.086 -5.124 0.407
4.790 1.700 0.769
Ta Re
4 1
Direct
0.500 0.000 0.000 Ta
0.000 0.500 0.000 Ta
0.500 0.500 0.500 Ta
0.000 0.000 0.500 Ta
0.000 0.000 0.000 Re
```



Entry 4:
Density functional theory data (GGA-PBEsol) for an optimized crystal structure of Ta3Re.

Properties
Density of states at the Fermi level = 0.667 states/eV per atom
Magnetization = 0.000 Bohr magnetons per cell
ΔE_f = -0.136 eV per atom

```
Ta3Re
1.0
-1.827 0.101 2.141
-1.103 -1.413 -2.172
3.397 -7.669 3.262
Ta Re
3 1
Direct
0.500 0.500 0.240 Ta
0.000 0.000 0.500 Ta
0.500 0.500 0.760 Ta
0.000 0.000 0.000 Re
```



Please write out number 4 again, unchanged.
Density functional theory data (GGA-PBEsol) for an optimized crystal structure of Ta3Re.

Properties
Density of states at the Fermi level = 0.667 states/eV per atom
Magnetization = 0.000 Bohr magnetons per cell
ΔE_f = -0.136 eV per atom

```
Ta3Re
1.0
-1.827 0.101 2.141
-1.103 -1.413 -2.172
3.397 -7.669 3.262
Ta Re
3 1
Direct
0.500 0.500 0.240 Ta
0.000 0.000 0.500 Ta
0.500 0.500 0.760 Ta
0.000 0.000 0.000 Re
```



> Which formula does entry 1 have?

Ta4Re